[1]
{
  "formula": "Hf5CoNi2",
  "functional": "PBE",
  "state": "relaxed",
  "cell": [[4.5568, 0.0000, 0.0000], [0.0000, 4.5568, 0.0000], [0.0000, 0.0000, 7.8405]],
  "species": ["Hf", "Hf", "Hf", "Hf", "Hf", "Co", "Ni", "Ni"],
  "fractional_positions": [[0.0000, 0.0000, 0.0000], [0.0000, 0.5000, 0.2393], [0.0000, 0.5000, 0.7607], [0.5000, 0.0000, 0.2393], [0.5000, 0.0000, 0.7607], [0.5000, 0.5000, 0.0000], [0.0000, 0.0000, 0.3649], [0.0000, 0.0000, 0.6351]],
  "total_magnetization_mub_per_fu": 0.0,
  "sg": "No. 123",
  "energy_ev_per_cell": -66.558,
  "volume_a3_per_cell": 162.80
}

***

[2]
{
  "formula": "HfCoNi2",
  "functional": "PBE",
  "state": "relaxed",
  "cell": [[0.0000, 2.9569, 2.9569], [2.9569, 0.0000, 2.9569], [2.9569, 2.9569, 0.0000]],
  "species": ["Hf", "Co", "Ni", "Ni"],
  "fractional_positions": [[0.0000, 0.0000, 0.0000], [0.2500, 0.2500, 0.2500], [0.5000, 0.5000, 0.5000], [0.7500, 0.7500, 0.7500]],
  "total_magnetization_mub_per_fu": 0.5,
  "sg": "No. 216",
  "energy_ev_per_cell": -29.126,
  "volume_a3_per_cell": 51.71
}

***

[3]
{
  "formula": "Hf2CoNi",
  "functional": "PBE",
  "state": "relaxed",
  "cell": [[0.0000, 3.1132, 3.1132], [3.1132, 0.0000, 3.1132], [3.1132, 3.1132, 0.0000]],
  "species": ["Hf", "Hf", "Co", "Ni"],
  "fractional_positions": [[0.0000, 0.0000, 0.0000], [0.2500, 0.2500, 0.2500], [0.7500, 0.7500, 0.7500], [0.5000, 0.5000, 0.5000]],
  "total_magnetization_mub_per_fu": 0.0,
  "sg": "No. 216",
  "energy_ev_per_cell": -32.703,
  "volume_a3_per_cell": 60.35
}

***

[4]
{
  "formula": "Hf2CoNi",
  "functional": "PBE",
  "state": "relaxed",
  "cell": [[3.2459, -4.0746, 0.0000], [3.2459, 4.0746, 0.0000], [-1.6143, 0.0000, 4.8289]],
  "species": ["Hf", "Hf", "Hf", "Hf", "Co", "Co", "Ni", "Ni"],
  "fractional_positions": [[0.0000, 0.0000, 0.0000], [0.1192, 0.6016, 0.4303], [0.5026, 0.5026, 0.9916], [0.6016, 0.1192, 0.4303], [0.4731, 0.9757, 0.8872], [0.9757, 0.4731, 0.8872], [0.1248, 0.1248, 0.5482], [0.6542, 0.6542, 0.5459]],
  "total_magnetization_mub_per_fu": 0.0,
  "sg": "No. 8",
  "energy_ev_per_cell": -68.963,
  "volume_a3_per_cell": 127.73
}

***

[5]
{
  "formula": "Hf4CoNiP2",
  "functional": "PBE",
  "state": "relaxed",
  "cell": [[5.1772, 0.0000, 0.0000], [0.0000, 3.5947, 0.0000], [-2.4887, 0.0000, 6.9456]],
  "species": ["Hf", "Hf", "Hf", "Hf", "Co", "Ni", "P", "P"],
  "fractional_positions": [[0.0000, 0.0000, 0.0000], [0.0618, 0.5000, 0.6383], [0.4837, 0.0000, 0.4828], [0.5512, 0.5000, 0.1355], [0.1320, 0.5000, 0.2697], [0.4185, 0.0000, 0.8531], [0.6354, 0.5000, 0.7728], [0.9129, 0.0000, 0.3535]],
  "total_magnetization_mub_per_fu": 0.0,
  "sg": "No. 6",
  "energy_ev_per_cell": -70.946,
  "volume_a3_per_cell": 129.26
}

***

[6]
{
  "formula": "HfCoNiPb",
  "functional": "PBE",
  "state": "relaxed",
  "cell": [[0.0000, 3.1990, 3.1990], [3.1990, 0.0000, 3.1990], [3.1990, 3.1990, 0.0000]],
  "species": ["Hf", "Co", "Ni", "Pb"],
  "fractional_positions": [[0.0000, 0.0000, 0.0000], [0.5000, 0.5000, 0.5000], [0.7500, 0.7500, 0.7500], [0.2500, 0.2500, 0.2500]],
  "total_magnetization_mub_per_fu": 0.0,
  "sg": "No. 216",
  "energy_ev_per_cell": -25.381,
  "volume_a3_per_cell": 65.47
}